# Li4Mn2VNi3P6O24 (PBE with a Hubbard U, optimized geometry)
# E_tot = -6.762 eV per atom
# Volume = 453.22 Å³/f.u.
data_Li4Mn2VNi3P6O24
_cell_length_a 8.509
_cell_length_b 8.533
_cell_length_c 8.614
_cell_angle_alpha 118.67
_cell_angle_beta 91.32
_cell_angle_gamma 118.90
_symmetry_space_group_name_H-M 'P 1'
_symmetry_Int_Tables_number 1
loop_
_symmetry_equiv_pos_as_xyz
'x,y,z'
loop_
_atom_site_label
_atom_site_type_symbol
_atom_site_fract_x
_atom_site_fract_y
_atom_site_fract_z
Li1 Li 0.000 0.000 0.000
Li2 Li 0.115 0.596 0.458
Li3 Li 0.334 0.373 0.702
Li4 Li 0.651 0.689 0.379
Mn1 Mn 0.288 0.547 0.112
Mn2 Mn 0.756 0.478 0.595
V1 V 0.422 0.201 0.944
Ni1 Ni 0.111 0.789 0.241
Ni2 Ni 0.625 0.788 0.751
Ni3 Ni 0.908 0.198 0.441
P1 P 0.025 0.969 0.633
P2 P 0.225 0.699 0.844
P3 P 0.301 0.292 0.338
P4 P 0.523 0.002 0.550
P5 P 0.708 0.700 0.062
P6 P 0.826 0.285 0.134
O1 O 0.025 0.478 0.177
O2 O 0.030 0.131 0.597
O3 O 0.048 0.561 0.669
O4 O 0.093 0.840 0.498
O5 O 0.156 0.113 0.846
O6 O 0.160 0.357 0.389
O7 O 0.167 0.648 0.991
O8 O 0.189 0.046 0.224
O9 O 0.305 0.939 0.922
O10 O 0.374 0.859 0.352
O11 O 0.378 0.655 0.796
O12 O 0.393 0.376 0.210
O13 O 0.450 0.116 0.704
O14 O 0.470 0.409 0.516
O15 O 0.492 0.488 0.978
O16 O 0.553 0.849 0.571
O17 O 0.662 0.290 0.055
O18 O 0.700 0.889 0.208
O19 O 0.708 0.194 0.571
O20 O 0.755 0.702 0.888
O21 O 0.809 0.078 0.989
O22 O 0.810 0.315 0.324
O23 O 0.826 0.794 0.618
O24 O 0.839 0.679 0.161